DFT (PBE) results for a relaxed structure of KLiTlS.

Lattice parameters (Å, degrees): 4.328 4.328 12.330 90.00 90.00 90.00
Space group P4/nmm (No. 129, origin choice 2)
Inequivalent atoms, fractional coordinates:
K (0.250, 0.250, 0.196) (multiplicity 2)
Li (0.250, 0.750, 0.000) (multiplicity 2)
Tl (0.250, 0.750, 0.500) (multiplicity 2)
S (0.250, 0.250, 0.895) (multiplicity 2)

Values from the calculation:
**Raw formation energy**: -0.7757 eV/atom
**Calculated total energy**: -3.152 eV/atom
**Theoretical density**: 4.06 g cm⁻³
**Calculated volume**: 28.87 Å³/atom

DFT (PBE) results for a relaxed structure of KLiTm2S4.

Lattice parameters (Å, degrees): 3.976 13.290 13.810 90.00 90.00 90.00
Space group Cmcm (No. 63)
Inequivalent atoms, fractional coordinates:
K (0.000, 0.108, 0.250) (multiplicity 4)
Li (0.000, 0.168, 0.750) (multiplicity 4)
Tm (0.000, 0.366, 0.062) (multiplicity 8)
S (0.000, 0.000, 0.000) (multiplicity 4)
S (0.000, 0.262, 0.606) (multiplicity 8)
S (0.000, 0.425, 0.250) (multiplicity 4)

Values from the calculation:
**Raw formation energy**: -1.8501 eV/atom
**Calculated total energy**: -5.408 eV/atom
**Theoretical density**: 4.66 g cm⁻³
**Calculated volume**: 22.81 Å³/atom

DFT (PBE) results for a relaxed structure of K2LiU3S8.

Lattice parameters (Å, degrees): 7.9857 7.9857 23.4389 90.00 90.00 120.00
Space group R3m (No. 160, hexagonal axes)
Inequivalent atoms, fractional coordinates:
K (0.0000, 0.0000, 0.0000) (multiplicity 3)
K (0.0000, 0.0000, 0.3567) (multiplicity 3)
Li (0.0000, 0.0000, 0.5163) (multiplicity 3)
U (0.0027, 0.5013, 0.4997) (multiplicity 9)
S (0.0000, 0.0000, 0.2263) (multiplicity 3)
S (0.0000, 0.0000, 0.7719) (multiplicity 3)
S (0.0172, 0.5086, 0.7732) (multiplicity 9)
S (0.1753, 0.3506, 0.5606) (multiplicity 9)

Values from the calculation:
**Raw formation energy**: -1.3840 eV/atom
**Calculated total energy**: -6.455 eV/atom
**Theoretical density**: 4.06 g cm⁻³
**Calculated volume**: 30.82 Å³/atom

DFT (PBE) results for a relaxed structure of K2LiU2S6.

Lattice parameters (Å, degrees): 6.850 12.079 7.743 90.00 105.89 90.00
Space group C2/m (No. 12)
Inequivalent atoms, fractional coordinates:
K (0.000, 0.158, 0.000) (multiplicity 4)
Li (0.000, 0.000, 0.500) (multiplicity 2)
U (0.000, 0.335, 0.500) (multiplicity 4)
S (0.216, 0.500, 0.689) (multiplicity 4)
S (0.235, 0.179, 0.693) (multiplicity 8)

Values from the calculation:
**Raw formation energy**: -1.3970 eV/atom
**Calculated total energy**: -6.074 eV/atom
**Theoretical density**: 4.06 g cm⁻³
**Calculated volume**: 28.01 Å³/atom

DFT (PBE) results for a relaxed structure of KLi2U3S6.

Lattice parameters (Å, degrees): 17.502 3.928 8.617 90.00 108.63 90.00
Space group C2/m (No. 12)
Inequivalent atoms, fractional coordinates:
K (0.000, 0.000, 0.000) (multiplicity 2)
Li (0.164, 0.500, 0.398) (multiplicity 4)
U (0.000, 0.000, 0.500) (multiplicity 2)
U (0.166, 0.500, 0.820) (multiplicity 4)
S (0.003, 0.500, 0.280) (multiplicity 4)
S (0.171, 0.000, 0.589) (multiplicity 4)
S (0.173, 0.000, 0.048) (multiplicity 4)

Values from the calculation:
**Raw formation energy**: -1.3265 eV/atom
**Calculated total energy**: -6.623 eV/atom
**Theoretical density**: 5.68 g cm⁻³
**Calculated volume**: 23.39 Å³/atom

DFT (PBE) results for a relaxed structure of KLiUS4.

Lattice parameters (Å, degrees): 6.855 5.342 9.283 90.00 108.77 90.00
Space group P2_1/m (No. 11)
Inequivalent atoms, fractional coordinates:
K (0.235, 0.250, 0.457) (multiplicity 2)
Li (0.259, 0.750, 0.190) (multiplicity 2)
U (0.228, 0.250, 0.938) (multiplicity 2)
S (0.033, 0.750, 0.327) (multiplicity 2)
S (0.072, 0.750, 0.928) (multiplicity 2)
S (0.472, 0.522, 0.806) (multiplicity 4)

Values from the calculation:
**Raw formation energy**: -1.1643 eV/atom
**Calculated total energy**: -5.566 eV/atom
**Theoretical density**: 4.25 g cm⁻³
**Calculated volume**: 22.99 Å³/atom

DFT (PBE) results for a relaxed structure of KLi3U4S12.

Lattice parameters (Å, degrees): 9.865 9.865 9.865 90.00 90.00 90.00
Space group Im-3 (No. 204)
Inequivalent atoms, fractional coordinates:
K (0.000, 0.000, 0.000) (multiplicity 2)
Li (0.000, 0.000, 0.500) (multiplicity 6)
U (0.250, 0.250, 0.250) (multiplicity 8)
S (0.000, 0.181, 0.305) (multiplicity 24)

Values from the calculation:
**Raw formation energy**: -1.2405 eV/atom
**Calculated total energy**: -6.317 eV/atom
**Theoretical density**: 4.83 g cm⁻³
**Calculated volume**: 24.00 Å³/atom

DFT (PBE) results for a relaxed structure of K3LiU3S8.

Lattice parameters (Å, degrees): 7.9900 7.9900 22.2654 90.00 90.00 120.00
Space group R-3m (No. 166, hexagonal axes)
Inequivalent atoms, fractional coordinates:
K (0.0000, 0.5000, 0.0000) (multiplicity 9)
Li (0.0000, 0.0000, 0.5000) (multiplicity 3)
U (0.0000, 0.5000, 0.5000) (multiplicity 9)
S (0.0000, 0.0000, 0.2346) (multiplicity 6)
S (0.0112, 0.5056, 0.7693) (multiplicity 18)

Values from the calculation:
**Raw formation energy**: -1.3939 eV/atom
**Calculated total energy**: -6.200 eV/atom
**Theoretical density**: 4.43 g cm⁻³
**Calculated volume**: 27.36 Å³/atom